Here is Mg2FeO4 after structural relaxation from the Alexandria database. Energies are from PBE with a Hubbard U.

Geometry as POSCAR:
```
Mg2FeO4
1.0
-0.3115 -2.9456 -0.1480
0.7261 0.1784 -5.0786
4.5856 -0.5969 2.2288
Mg Fe O
2 1 4
Direct
0.5000 0.0000 0.5000
0.5000 0.5000 0.0000
0.0000 0.0000 0.0000
0.5000 0.7903 0.7903
0.0000 0.2282 0.7718
0.5000 0.2097 0.2097
0.0000 0.7718 0.2282
```

Values from the calculation:
ΔE to the lowest computed polymorph in kJ/mol of atoms: 0.0
Raw total energy in Ha/atom: -0.2226
Total moment in μB/f.u.: 2.0